Entry 1:
# TbPr2HoEr6 (PBE, optimized geometry)
data_TbPr2HoEr6
_cell_length_a 8.9821
_cell_length_b 14.9794
_cell_length_c 9.6841
_cell_angle_alpha 90.00
_cell_angle_beta 99.25
_cell_angle_gamma 90.00
_space_group_name_H-M_alt 'C 1 2/c 1'
_space_group_IT_number 15
loop_
_space_group_symop_operation_xyz
'x,y,z'
'-x,-y,-z'
'-x,y,-z+1/2'
'x,-y,z+1/2'
'x+1/2,y+1/2,z'
'-x+1/2,-y+1/2,-z'
'-x+1/2,y+1/2,-z+1/2'
'x+1/2,-y+1/2,z+1/2'
loop_
_atom_site_label
_atom_site_type_symbol
_atom_site_fract_x
_atom_site_fract_y
_atom_site_fract_z
Tb1 Tb 0.0000 0.0171 0.2500
Pr1 Pr 0.2441 0.0517 0.5425
Ho1 Ho 0.0000 0.4063 0.7500
Er1 Er 0.0670 0.1915 0.9424
Er2 Er 0.1008 0.3943 0.1186
Er3 Er 0.2006 0.2232 0.3124
# **E**: -4.50 eV per atom
# **V**: 321.5 Å³/f.u.
# **N(E_F)**: 1.35 states/eV per atom
# **Formation enthalpy at 0 K**: 0.118 eV per atom

---

Entry 2:
# PmTl2Se2O6 (PBE, optimized geometry)
data_PmTl2Se2O6
_cell_length_a 9.7957
_cell_length_b 6.0038
_cell_length_c 7.6543
_cell_angle_alpha 90.00
_cell_angle_beta 105.07
_cell_angle_gamma 90.00
_space_group_name_H-M_alt 'C 1 2/m 1'
_space_group_IT_number 12
loop_
_space_group_symop_operation_xyz
'x,y,z'
'-x,-y,-z'
'-x,y,-z'
'x,-y,z'
'x+1/2,y+1/2,z'
'-x+1/2,-y+1/2,-z'
'-x+1/2,y+1/2,-z'
'x+1/2,-y+1/2,z'
loop_
_atom_site_label
_atom_site_type_symbol
_atom_site_fract_x
_atom_site_fract_y
_atom_site_fract_z
Pm1 Pm 0.0000 0.0000 0.0000
Tl1 Tl 0.2290 0.0000 0.5966
Se1 Se 0.1059 0.5000 0.7396
O1 O 0.0047 0.2774 0.7810
O2 O 0.2466 0.0000 0.0823
# **E**: -5.51 eV per atom
# **V**: 217.3 Å³/f.u.
# **N(E_F)**: 0.17 states/eV per atom

---

Entry 3:
# Fe2SnC (PBE, optimized geometry)
data_Fe2SnC
_cell_length_a 5.9370
_cell_length_b 5.9370
_cell_length_c 5.9370
_cell_angle_alpha 90.00
_cell_angle_beta 90.00
_cell_angle_gamma 90.00
_space_group_name_H-M_alt 'F m -3 m'
_space_group_IT_number 225
_space_group_name_Hall '-F 4 2 3'
loop_
_atom_site_label
_atom_site_type_symbol
_atom_site_fract_x
_atom_site_fract_y
_atom_site_fract_z
Fe1 Fe 0.2500 0.2500 0.2500
Sn1 Sn 0.0000 0.0000 0.0000
C1 C 0.0000 0.0000 0.5000
# **E**: -6.21 eV per atom
# **V**: 52.3 Å³/f.u.
# **N(E_F)**: 0.99 states/eV per atom
# **Formation enthalpy at 0 K**: 1.331 eV per atom